#A
Below is a crystal of BeSeO2 relaxed with PBEsol, with properties calculated at the meta-GGA SCAN level.

Cell lengths 3.816, 3.816, 3.816 Å; angles 60.00, 60.00, 60.00 degrees
Sites, in units of the cell vectors:
Be (0.000, 0.000, 0.000)
Se (0.500, 0.500, 0.500)
O (0.250, 0.250, 0.250)
O (0.750, 0.750, 0.750)

volume	39	Å³ per cell

#B
Below is a crystal of BeSeO2 relaxed with PBEsol, with properties calculated at the meta-GGA SCAN level.

Cell lengths 2.778, 2.778, 5.897 Å; angles 76.38, 76.38, 60.00 degrees
Sites, in units of the cell vectors:
Be (0.500, 0.500, 0.500)
Se (0.000, 0.000, 0.000)
O (0.888, 0.888, 0.335)
O (0.112, 0.112, 0.665)

volume	38	Å³ per cell

Verdict on stability: #B comes out on top.

#A
Below is a crystal of BeOs2Pb relaxed with PBEsol, with properties calculated at the meta-GGA SCAN level.

Cell lengths 3.913, 3.913, 4.809 Å; angles 114.01, 114.01, 90.00 degrees
Sites, in units of the cell vectors:
Pb (0.500, 0.500, 0.000)
Be (0.250, 0.750, 0.500)
Os (0.000, 0.000, 0.000)
Os (0.750, 0.250, 0.500)

volume	60	Å³ per cell

#B
Below is a crystal of BeOs2Pb relaxed with PBEsol, with properties calculated at the meta-GGA SCAN level.

Cell lengths 2.863, 2.863, 9.202 Å; angles 90.00, 90.00, 119.43 degrees
Sites, in units of the cell vectors:
Pb (0.000, 0.000, 0.498)
Be (0.500, 0.500, 0.206)
Os (0.000, 0.000, 0.014)
Os (0.500, 0.500, 0.781)

volume	66	Å³ per cell

#C
Below is a crystal of BeOs2Pb relaxed with PBEsol, with properties calculated at the meta-GGA SCAN level.

Cell lengths 3.068, 4.301, 5.222 Å; angles 114.32, 107.08, 90.00 degrees
Sites, in units of the cell vectors:
Pb (0.521, 0.521, 0.042)
Be (0.275, 0.775, 0.549)
Os (0.971, 0.971, 0.942)
Os (0.733, 0.233, 0.467)

volume	59	Å³ per cell

#D
Below is a crystal of BeOs2Pb relaxed with PBEsol, with properties calculated at the meta-GGA SCAN level.

Cell lengths 2.925, 4.581, 4.918 Å; angles 104.88, 90.00, 108.62 degrees
Sites, in units of the cell vectors:
Pb (0.000, 0.000, 0.500)
Be (0.500, 0.000, 0.000)
Os (0.783, 0.566, 0.803)
Os (0.217, 0.434, 0.197)

volume	60	Å³ per cell

Verdict on stability: #D comes out on top.

#A
Below is a crystal of Be2OsRh relaxed with PBEsol, with properties calculated at the meta-GGA SCAN level.

Cell lengths 2.748, 2.748, 5.653 Å; angles 90.00, 90.00, 90.00 degrees
Sites, in units of the cell vectors:
Rh (0.500, 0.500, 0.790)
Os (0.000, 0.000, 0.463)
Be (0.000, 0.000, 0.028)
Be (0.500, 0.500, 0.219)

volume	43	Å³ per cell

#B
Below is a crystal of Be2OsRh relaxed with PBEsol, with properties calculated at the meta-GGA SCAN level.

Cell lengths 2.595, 2.595, 7.800 Å; angles 90.00, 90.00, 115.97 degrees
Sites, in units of the cell vectors:
Rh (0.500, 0.500, 0.222)
Os (0.000, 0.000, 0.522)
Be (0.000, 0.000, 0.995)
Be (0.500, 0.500, 0.760)

volume	47	Å³ per cell

Verdict on stability: #A comes out on top.

#A
Below is a crystal of BeOs2Se relaxed with PBEsol, with properties calculated at the meta-GGA SCAN level.

Cell lengths 2.865, 4.860, 4.916 Å; angles 129.21, 90.02, 89.98 degrees
Sites, in units of the cell vectors:
Be (0.000, 0.000, 0.000)
Os (0.000, 0.000, 0.500)
Os (0.500, 0.500, 0.500)
Se (0.500, 0.500, 0.000)

volume	53	Å³ per cell

#B
Below is a crystal of BeOs2Se relaxed with PBEsol, with properties calculated at the meta-GGA SCAN level.

Cell lengths 2.960, 4.156, 4.156 Å; angles 90.00, 90.00, 90.00 degrees
Sites, in units of the cell vectors:
Be (0.500, 0.000, 0.000)
Os (0.000, 0.000, 0.500)
Os (0.000, 0.500, 0.000)
Se (0.500, 0.500, 0.500)

volume	51	Å³ per cell

#C
Below is a crystal of BeOs2Se relaxed with PBEsol, with properties calculated at the meta-GGA SCAN level.

Cell lengths 2.841, 2.841, 7.694 Å; angles 90.00, 90.00, 90.00 degrees
Sites, in units of the cell vectors:
Be (0.500, 0.500, 0.838)
Os (0.000, 0.000, 0.993)
Os (0.500, 0.500, 0.230)
Se (0.000, 0.000, 0.439)

volume	62	Å³ per cell

#D
Below is a crystal of BeOs2Se relaxed with PBEsol, with properties calculated at the meta-GGA SCAN level.

Cell lengths 3.018, 3.018, 5.737 Å; angles 90.00, 90.00, 90.00 degrees
Sites, in units of the cell vectors:
Be (0.500, 0.500, 0.788)
Os (0.000, 0.000, 0.937)
Os (0.500, 0.500, 0.265)
Se (0.000, 0.000, 0.511)

volume	52	Å³ per cell

Verdict on stability: #C comes out on top.

#A
Below is a crystal of BeP relaxed with PBEsol, with properties calculated at the meta-GGA SCAN level.

Cell lengths 3.477, 3.477, 3.477 Å; angles 60.00, 60.00, 60.00 degrees
Sites, in units of the cell vectors:
P (0.250, 0.250, 0.250)
Be (0.000, 0.000, 0.000)

volume	30	Å³ per cell

#B
Below is a crystal of BeP relaxed with PBEsol, with properties calculated at the meta-GGA SCAN level.

Cell lengths 3.193, 3.389, 4.963 Å; angles 109.14, 108.77, 90.00 degrees
Sites, in units of the cell vectors:
P (0.114, 0.485, 0.227)
P (0.886, 0.515, 0.773)
Be (0.651, 0.040, 0.302)
Be (0.349, 0.960, 0.698)

volume	48	Å³ per cell

Verdict on stability: #A comes out on top.

#A
Below is a crystal of BeSb2P relaxed with PBEsol, with properties calculated at the meta-GGA SCAN level.

Cell lengths 3.777, 3.777, 6.678 Å; angles 73.57, 73.57, 60.00 degrees
Sites, in units of the cell vectors:
Sb (0.743, 0.743, 0.771)
Sb (0.257, 0.257, 0.229)
P (0.500, 0.500, 0.500)
Be (0.000, 0.000, 0.000)

volume	78	Å³ per cell

#B
Below is a crystal of BeSb2P relaxed with PBEsol, with properties calculated at the meta-GGA SCAN level.

Cell lengths 4.063, 4.063, 4.919 Å; angles 90.00, 90.00, 98.07 degrees
Sites, in units of the cell vectors:
Sb (0.071, 0.929, 0.000)
Sb (0.680, 0.320, 0.500)
P (0.252, 0.747, 0.500)
Be (0.496, 0.504, 0.000)

volume	80	Å³ per cell

Verdict on stability: #A comes out on top.

#A
Below is a crystal of BeSi2P relaxed with PBEsol, with properties calculated at the meta-GGA SCAN level.

Cell lengths 2.832, 3.496, 6.075 Å; angles 90.00, 90.00, 90.00 degrees
Sites, in units of the cell vectors:
P (0.500, 0.500, 0.424)
Si (0.000, 0.000, 0.956)
Si (0.500, 0.500, 0.794)
Be (0.000, 0.000, 0.326)

volume	60	Å³ per cell

#B
Below is a crystal of BeSi2P relaxed with PBEsol, with properties calculated at the meta-GGA SCAN level.

Cell lengths 3.266, 3.389, 5.413 Å; angles 108.24, 107.56, 90.00 degrees
Sites, in units of the cell vectors:
P (0.822, 0.322, 0.643)
Si (0.007, 0.007, 0.015)
Si (0.189, 0.689, 0.379)
Be (0.482, 0.482, 0.964)

volume	54	Å³ per cell

Verdict on stability: #A comes out on top.

#A
Below is a crystal of BeTeP2 relaxed with PBEsol, with properties calculated at the meta-GGA SCAN level.

Cell lengths 4.508, 4.508, 4.508 Å; angles 60.00, 60.00, 60.00 degrees
Sites, in units of the cell vectors:
P (0.000, 0.000, 0.000)
P (0.750, 0.750, 0.750)
Te (0.500, 0.500, 0.500)
Be (0.250, 0.250, 0.250)

volume	65	Å³ per cell

#B
Below is a crystal of BeTeP2 relaxed with PBEsol, with properties calculated at the meta-GGA SCAN level.

Cell lengths 3.366, 3.366, 7.952 Å; angles 77.78, 77.78, 60.00 degrees
Sites, in units of the cell vectors:
P (0.996, 0.996, 0.011)
P (0.717, 0.717, 0.848)
Te (0.528, 0.528, 0.415)
Be (0.258, 0.258, 0.226)

volume	76	Å³ per cell

#C
Below is a crystal of BeTeP2 relaxed with PBEsol, with properties calculated at the meta-GGA SCAN level.

Cell lengths 3.563, 4.457, 4.457 Å; angles 106.88, 90.00, 90.00 degrees
Sites, in units of the cell vectors:
P (0.000, 0.500, 0.000)
P (0.000, 0.000, 0.500)
Te (0.500, 0.000, 0.000)
Be (0.500, 0.500, 0.500)

volume	68	Å³ per cell

Verdict on stability: #B comes out on top.

#A
Below is a crystal of BePW2 relaxed with PBEsol, with properties calculated at the meta-GGA SCAN level.

Cell lengths 3.211, 3.743, 4.376 Å; angles 90.00, 90.00, 90.00 degrees
Sites, in units of the cell vectors:
P (0.000, 0.500, 0.500)
W (0.000, 0.000, 0.000)
W (0.500, 0.000, 0.500)
Be (0.500, 0.500, 0.000)

volume	53	Å³ per cell

#B
Below is a crystal of BePW2 relaxed with PBEsol, with properties calculated at the meta-GGA SCAN level.

Cell lengths 4.147, 4.147, 4.147 Å; angles 60.00, 60.00, 60.00 degrees
Sites, in units of the cell vectors:
P (0.000, 0.000, 0.000)
W (0.250, 0.250, 0.250)
W (0.750, 0.750, 0.750)
Be (0.500, 0.500, 0.500)

volume	50	Å³ per cell

Verdict on stability: #B comes out on top.

#A
Below is a crystal of Y2BeP relaxed with PBEsol, with properties calculated at the meta-GGA SCAN level.

Cell lengths 3.888, 3.888, 7.135 Å; angles 74.19, 74.19, 60.00 degrees
Sites, in units of the cell vectors:
Y (0.756, 0.756, 0.731)
Y (0.244, 0.244, 0.269)
P (0.500, 0.500, 0.500)
Be (0.000, 0.000, 0.000)

volume	89	Å³ per cell

#B
Below is a crystal of Y2BeP relaxed with PBEsol, with properties calculated at the meta-GGA SCAN level.

Cell lengths 3.374, 3.374, 7.757 Å; angles 90.00, 90.00, 108.97 degrees
Sites, in units of the cell vectors:
Y (0.000, 0.000, 0.066)
Y (0.500, 0.500, 0.690)
P (0.500, 0.500, 0.313)
Be (0.000, 0.000, 0.431)

volume	84	Å³ per cell

#C
Below is a crystal of Y2BeP relaxed with PBEsol, with properties calculated at the meta-GGA SCAN level.

Cell lengths 4.500, 4.939, 4.500 Å; angles 117.10, 90.00, 117.10 degrees
Sites, in units of the cell vectors:
Y (0.750, 0.500, 0.250)
Y (0.250, 0.500, 0.750)
P (0.000, 0.000, 0.000)
Be (0.500, 0.000, 0.500)

volume	76	Å³ per cell

#D
Below is a crystal of Y2BeP relaxed with PBEsol, with properties calculated at the meta-GGA SCAN level.

Cell lengths 3.549, 4.656, 4.656 Å; angles 90.00, 90.00, 90.00 degrees
Sites, in units of the cell vectors:
Y (0.000, 0.000, 0.500)
Y (0.000, 0.500, 0.000)
P (0.500, 0.000, 0.000)
Be (0.500, 0.500, 0.500)

volume	77	Å³ per cell

Verdict on stability: #A comes out on top.

#A
Below is a crystal of BeZnP relaxed with PBEsol, with properties calculated at the meta-GGA SCAN level.

Cell lengths 2.630, 2.630, 6.361 Å; angles 90.00, 90.00, 120.00 degrees
Sites, in units of the cell vectors:
P (0.333, 0.667, 0.713)
Zn (0.667, 0.333, 0.299)
Be (0.000, 0.000, 0.988)

volume	38	Å³ per cell

#B
Below is a crystal of BeZnP relaxed with PBEsol, with properties calculated at the meta-GGA SCAN level.

Cell lengths 3.825, 3.825, 3.825 Å; angles 60.00, 60.00, 60.00 degrees
Sites, in units of the cell vectors:
P (0.000, 0.000, 0.000)
Zn (0.500, 0.500, 0.500)
Be (0.250, 0.250, 0.250)

volume	40	Å³ per cell

Verdict on stability: #B comes out on top.

#A
Below is a crystal of BeZn2P relaxed with PBEsol, with properties calculated at the meta-GGA SCAN level.

Cell lengths 2.535, 3.311, 6.455 Å; angles 90.00, 101.33, 90.00 degrees
Sites, in units of the cell vectors:
P (0.164, 0.500, 0.328)
Zn (0.329, 0.000, 0.658)
Zn (0.958, 0.500, 0.915)
Be (0.582, 0.000, 0.164)

volume	53	Å³ per cell

#B
Below is a crystal of BeZn2P relaxed with PBEsol, with properties calculated at the meta-GGA SCAN level.

Cell lengths 2.663, 2.663, 7.277 Å; angles 90.00, 90.00, 90.00 degrees
Sites, in units of the cell vectors:
P (0.500, 0.500, 0.500)
Zn (0.000, 0.000, 0.784)
Zn (0.000, 0.000, 0.216)
Be (0.500, 0.500, 0.000)

volume	52	Å³ per cell

Verdict on stability: #A comes out on top.